# 1
This record from Alexandria describes a relaxed structure of KEuSn4. The functional is GGA-PBE.

Values from the calculation:
Uncorrected energy   -29.20 eV for the cell shown
Crystal system   cubic
Space-group type   No. 216
N(E_F)   2.3937 states/eV/atom
E_form   -303 meV/atom

a b c (Å): 6.3761 6.3761 6.3761
angles (deg): 60.00 60.00 60.00
Atoms (fractional coordinates):
K 0.0000 0.0000 0.0000
Eu 0.2500 0.2500 0.2500
Sn 0.1264 0.6245 0.6245
Sn 0.6245 0.1264 0.6245
Sn 0.6245 0.6245 0.1264
Sn 0.6245 0.6245 0.6245

***

# 2
This record from Alexandria describes a relaxed structure of KEuTlSn. The functional is GGA-PBE.

Values from the calculation:
Uncorrected energy   -75.48 eV for the cell shown
Crystal system   cubic
Space-group type   No. 216
N(E_F)   0.2375 states/eV/atom
E_form   -282 meV/atom

a b c (Å): 8.0881 8.0881 8.0881
angles (deg): 90.00 90.00 90.00
Atoms (fractional coordinates):
K 0.0000 0.0000 0.0000
K 0.0000 0.5000 0.5000
K 0.5000 0.0000 0.5000
K 0.5000 0.5000 0.0000
Eu 0.0000 0.0000 0.5000
Eu 0.0000 0.5000 0.0000
Eu 0.5000 0.0000 0.0000
Eu 0.5000 0.5000 0.5000
Tl 0.2500 0.2500 0.7500
Tl 0.2500 0.7500 0.2500
Tl 0.7500 0.2500 0.2500
Tl 0.7500 0.7500 0.7500
Sn 0.2500 0.2500 0.2500
Sn 0.2500 0.7500 0.7500
Sn 0.7500 0.2500 0.7500
Sn 0.7500 0.7500 0.2500

***

# 3
This record from Alexandria describes a relaxed structure of KSr2Eu. The functional is GGA-PBE.

Values from the calculation:
Relative energy among the computed polymorphs   0 meV per atom
Uncorrected energy   -43.39 eV for the cell shown
Crystal system   trigonal
Space-group type   No. 166
N(E_F)   0.9885 states/eV/atom
E_form   68 meV/atom

a b c (Å): 4.2180 4.2180 42.8419
angles (deg): 90.00 90.00 120.00
Atoms (fractional coordinates):
K 0.0000 0.0000 0.0000
K 0.3333 0.6667 0.6667
K 0.6667 0.3333 0.3333
Sr 0.0000 0.0000 0.2442
Sr 0.0000 0.0000 0.7558
Sr 0.3333 0.6667 0.4225
Sr 0.3333 0.6667 0.9108
Sr 0.6667 0.3333 0.0892
Sr 0.6667 0.3333 0.5775
Eu 0.0000 0.0000 0.5000
Eu 0.3333 0.6667 0.1667
Eu 0.6667 0.3333 0.8333

***

# 4
This record from Alexandria describes a relaxed structure of KSr4Eu. The functional is GGA-PBE.

Values from the calculation:
Uncorrected energy   -17.10 eV for the cell shown
Crystal system   cubic
Space-group type   No. 216
N(E_F)   0.9010 states/eV/atom
E_form   167 meV/atom

a b c (Å): 7.9577 7.9577 7.9577
angles (deg): 60.00 60.00 60.00
Atoms (fractional coordinates):
K 0.0000 0.0000 0.0000
Sr 0.1265 0.6245 0.6245
Sr 0.6245 0.1265 0.6245
Sr 0.6245 0.6245 0.1265
Sr 0.6245 0.6245 0.6245
Eu 0.2500 0.2500 0.2500

***

# 5
This record from Alexandria describes a relaxed structure of KSrEu2. The functional is GGA-PBE.

Values from the calculation:
Relative energy among the computed polymorphs   67 meV per atom
Uncorrected energy   -22.62 eV for the cell shown
Crystal system   tetragonal
Space-group type   No. 123
N(E_F)   6.4447 states/eV/atom
E_form   177 meV/atom

a b c (Å): 6.8626 6.8626 4.4721
angles (deg): 90.00 90.00 90.00
Atoms (fractional coordinates):
K 0.0000 0.0000 0.0000
Sr 0.5000 0.5000 0.0000
Eu 0.0000 0.5000 0.5000
Eu 0.5000 0.0000 0.5000

***

# 6
This record from Alexandria describes a relaxed structure of KSrEu2. The functional is GGA-PBE.

Values from the calculation:
Relative energy among the computed polymorphs   15 meV per atom
Uncorrected energy   -22.83 eV for the cell shown
Crystal system   tetragonal
Space-group type   No. 123
N(E_F)   5.6190 states/eV/atom
E_form   126 meV/atom

a b c (Å): 4.0382 4.0382 12.9981
angles (deg): 90.00 90.00 90.00
Atoms (fractional coordinates):
K 0.0000 0.0000 0.0000
Sr 0.0000 0.0000 0.5000
Eu 0.5000 0.5000 0.2674
Eu 0.5000 0.5000 0.7326

***

# 7
This record from Alexandria describes a relaxed structure of KSrEu2. The functional is GGA-PBE.

Values from the calculation:
Relative energy among the computed polymorphs   0 meV per atom
Uncorrected energy   -68.66 eV for the cell shown
Crystal system   trigonal
Space-group type   No. 166
N(E_F)   1.0036 states/eV/atom
E_form   111 meV/atom

a b c (Å): 4.1203 4.1203 42.5798
angles (deg): 90.00 90.00 120.00
Atoms (fractional coordinates):
K 0.0000 0.0000 0.0000
K 0.3333 0.6667 0.6667
K 0.6667 0.3333 0.3333
Sr 0.0000 0.0000 0.5000
Sr 0.3333 0.6667 0.1667
Sr 0.6667 0.3333 0.8333
Eu 0.0000 0.0000 0.2458
Eu 0.0000 0.0000 0.7542
Eu 0.3333 0.6667 0.4209
Eu 0.3333 0.6667 0.9125
Eu 0.6667 0.3333 0.0875
Eu 0.6667 0.3333 0.5791

***

# 8
This record from Alexandria describes a relaxed structure of KSr2Eu. The functional is GGA-PBE.

Values from the calculation:
Relative energy among the computed polymorphs   52 meV per atom
Uncorrected energy   -14.25 eV for the cell shown
Crystal system   tetragonal
Space-group type   No. 123
N(E_F)   3.8090 states/eV/atom
E_form   120 meV/atom

a b c (Å): 6.9466 6.9466 4.5353
angles (deg): 90.00 90.00 90.00
Atoms (fractional coordinates):
K 0.0000 0.0000 0.0000
Sr 0.0000 0.5000 0.5000
Sr 0.5000 0.0000 0.5000
Eu 0.5000 0.5000 0.0000

***

# 9
This record from Alexandria describes a relaxed structure of KSr2Eu. The functional is GGA-PBE.

Values from the calculation:
Relative energy among the computed polymorphs   8 meV per atom
Uncorrected energy   -14.43 eV for the cell shown
Crystal system   tetragonal
Space-group type   No. 123
N(E_F)   1.1138 states/eV/atom
E_form   76 meV/atom

a b c (Å): 4.1738 4.1738 12.7279
angles (deg): 90.00 90.00 90.00
Atoms (fractional coordinates):
K 0.0000 0.0000 0.0000
Sr 0.5000 0.5000 0.2729
Sr 0.5000 0.5000 0.7271
Eu 0.0000 0.0000 0.5000

***

# 10
This record from Alexandria describes a relaxed structure of KSr2Eu. The functional is GGA-PBE.

Values from the calculation:
Relative energy among the computed polymorphs   76 meV per atom
Uncorrected energy   -56.64 eV for the cell shown
Crystal system   cubic
Space-group type   No. 225
N(E_F)   4.1585 states/eV/atom
E_form   144 meV/atom

a b c (Å): 9.6228 9.6228 9.6228
angles (deg): 90.00 90.00 90.00
Atoms (fractional coordinates):
K 0.0000 0.0000 0.0000
K 0.0000 0.5000 0.5000
K 0.5000 0.0000 0.5000
K 0.5000 0.5000 0.0000
Sr 0.2500 0.2500 0.2500
Sr 0.2500 0.2500 0.7500
Sr 0.2500 0.7500 0.2500
Sr 0.2500 0.7500 0.7500
Sr 0.7500 0.2500 0.2500
Sr 0.7500 0.2500 0.7500
Sr 0.7500 0.7500 0.2500
Sr 0.7500 0.7500 0.7500
Eu 0.0000 0.0000 0.5000
Eu 0.0000 0.5000 0.0000
Eu 0.5000 0.0000 0.0000
Eu 0.5000 0.5000 0.5000

***

# 11
This record from Alexandria describes a relaxed structure of KSrEuTl. The functional is GGA-PBE.

Values from the calculation:
Uncorrected energy   -62.57 eV for the cell shown
Crystal system   cubic
Space-group type   No. 216
N(E_F)   3.4454 states/eV/atom
E_form   -55 meV/atom

a b c (Å): 8.5175 8.5175 8.5175
angles (deg): 90.00 90.00 90.00
Atoms (fractional coordinates):
K 0.0000 0.0000 0.0000
K 0.0000 0.5000 0.5000
K 0.5000 0.0000 0.5000
K 0.5000 0.5000 0.0000
Sr 0.2500 0.2500 0.2500
Sr 0.2500 0.7500 0.7500
Sr 0.7500 0.2500 0.7500
Sr 0.7500 0.7500 0.2500
Eu 0.2500 0.2500 0.7500
Eu 0.2500 0.7500 0.2500
Eu 0.7500 0.2500 0.2500
Eu 0.7500 0.7500 0.7500
Tl 0.0000 0.0000 0.5000
Tl 0.0000 0.5000 0.0000
Tl 0.5000 0.0000 0.0000
Tl 0.5000 0.5000 0.5000

***

# 12
This record from Alexandria describes a relaxed structure of KEuTe. The functional is GGA-PBE.

Values from the calculation:
Uncorrected energy   -34.36 eV for the cell shown
Crystal system   tetragonal
Space-group type   No. 107
Formation energy without anion corrections   -0.89 eV per atom
N(E_F)   3.7517 states/eV/atom

a b c (Å): 4.2097 4.2097 15.1814
angles (deg): 90.00 90.00 90.00
Atoms (fractional coordinates):
K 0.0000 0.0000 0.0000
K 0.5000 0.5000 0.5000
Eu 0.0000 0.0000 0.2484
Eu 0.5000 0.5000 0.7484
Te 0.0000 0.0000 0.6599
Te 0.5000 0.5000 0.1599

***

# 13
This record from Alexandria describes a relaxed structure of KEuTe2. The functional is GGA-PBE.

Values from the calculation:
Uncorrected energy   -22.28 eV for the cell shown
Crystal system   tetragonal
Space-group type   No. 123
Formation energy without anion corrections   -1.16 eV per atom
N(E_F)   1.2532 states/eV/atom

a b c (Å): 4.0209 4.0209 8.4479
angles (deg): 90.00 90.00 90.00
Atoms (fractional coordinates):
K 0.0000 0.0000 0.0000
Eu 0.0000 0.0000 0.5000
Te 0.5000 0.5000 0.2813
Te 0.5000 0.5000 0.7187

***

# 14
This record from Alexandria describes a relaxed structure of KEu2Tl. The functional is GGA-PBE.

Values from the calculation:
Relative energy among the computed polymorphs   80 meV per atom
Uncorrected energy   -72.78 eV for the cell shown
Crystal system   trigonal
Space-group type   No. 166
N(E_F)   4.8191 states/eV/atom
E_form   -62 meV/atom

a b c (Å): 4.0344 4.0344 37.3559
angles (deg): 90.00 90.00 120.00
Atoms (fractional coordinates):
K 0.0000 0.0000 0.0000
K 0.3333 0.6667 0.6667
K 0.6667 0.3333 0.3333
Eu 0.0000 0.0000 0.2323
Eu 0.0000 0.0000 0.7677
Eu 0.3333 0.6667 0.4344
Eu 0.3333 0.6667 0.8990
Eu 0.6667 0.3333 0.1010
Eu 0.6667 0.3333 0.5656
Tl 0.0000 0.0000 0.5000
Tl 0.3333 0.6667 0.1667
Tl 0.6667 0.3333 0.8333

***

# 15
This record from Alexandria describes a relaxed structure of KEu2Tl. The functional is GGA-PBE.

Values from the calculation:
Relative energy among the computed polymorphs   115 meV per atom
Uncorrected energy   -96.48 eV for the cell shown
Crystal system   cubic
Space-group type   No. 225
N(E_F)   5.1483 states/eV/atom
E_form   -27 meV/atom

a b c (Å): 8.3809 8.3809 8.3809
angles (deg): 90.00 90.00 90.00
Atoms (fractional coordinates):
K 0.0000 0.0000 0.0000
K 0.0000 0.5000 0.5000
K 0.5000 0.0000 0.5000
K 0.5000 0.5000 0.0000
Eu 0.2500 0.2500 0.2500
Eu 0.2500 0.2500 0.7500
Eu 0.2500 0.7500 0.2500
Eu 0.2500 0.7500 0.7500
Eu 0.7500 0.2500 0.2500
Eu 0.7500 0.2500 0.7500
Eu 0.7500 0.7500 0.2500
Eu 0.7500 0.7500 0.7500
Tl 0.0000 0.0000 0.5000
Tl 0.0000 0.5000 0.0000
Tl 0.5000 0.0000 0.0000
Tl 0.5000 0.5000 0.5000